Record 1
This record from Alexandria describes a geometry-optimized Li2AuCl structure. The functional is GGA-PBE.

Cell lengths 6.8660, 6.8660, 3.4862 Å; angles 90.78, 90.78, 29.44 degrees
Element x y z (fractional)
Li (0.0000, 0.0000, 0.0000)
Li (0.6543, 0.6543, 0.5085)
Au (0.2203, 0.2203, 0.0119)
Cl (0.4764, 0.4764, 0.4985)

## Properties
space group	Cm, No. 8
mass density	5.1	g/cm3
N(E_F)	0.085	states/eV/atom
energy relative to the lowest polymorph listed for this composition	35.3	meV/atom
raw formation energy	-0.973	eV/atom

Record 2
This record from Alexandria describes a geometry-optimized K4ScTl structure. The functional is GGA-PBE.

Cell lengths 7.3558, 7.3558, 7.3558 Å; angles 60.00, 60.00, 60.00 degrees
Element x y z (fractional)
K (0.1255, 0.1255, 0.1255)
K (0.1255, 0.1255, 0.6235)
K (0.1255, 0.6235, 0.1255)
K (0.6235, 0.1255, 0.1255)
Sc (0.7500, 0.7500, 0.7500)
Tl (0.5000, 0.5000, 0.5000)

## Properties
space group	F-43m, No. 216
mass density	2.4	g/cm3
N(E_F)	1.250	states/eV/atom
formation energy from the elements	551	meV per atom

- The lowest mass density belongs to which entry?
  K4ScTl

- What is the N(E_F) in the first record?
  0.085 states/eV/atom

- Which value of N(E_F) does entry 2 give?
  1.250 states/eV/atom